# 1
{
  "formula": "Ta3Ni3N",
  "functional": "GGA-PBE",
  "state": "relaxed",
  "e_tot_ev_per_cell": -259.72,
  "volume_a3_per_cell": 360.4,
  "n_ef_per_ev_fu": 9.49,
  "formation_energy_uncorrected_ev_per_atom": -0.529,
  "lattice": [[-7.188, -2.240, -2.666], [-6.140, -0.578, 5.076], [-5.967, 5.300, -0.330]],
  "species": ["Ni", "Ni", "Ni", "Ni", "Ni", "Ni", "Ni", "Ni", "Ni", "Ni", "Ni", "Ni", "Ta", "Ta", "Ta", "Ta", "Ta", "Ta", "Ta", "Ta", "Ta", "Ta", "Ta", "Ta", "N", "N", "N", "N"],
  "fractional_positions": [[0.835, 0.835, 0.496], [0.625, 0.625, 0.125], [0.415, 0.754, 0.415], [0.415, 0.415, 0.415], [0.754, 0.415, 0.415], [0.835, 0.835, 0.835], [0.496, 0.835, 0.835], [0.125, 0.625, 0.625], [0.835, 0.496, 0.835], [0.415, 0.415, 0.754], [0.625, 0.125, 0.625], [0.625, 0.625, 0.625], [0.804, 0.804, 0.196], [0.804, 0.196, 0.196], [0.196, 0.804, 0.804], [0.054, 0.054, 0.446], [0.446, 0.054, 0.446], [0.804, 0.196, 0.804], [0.446, 0.054, 0.054], [0.196, 0.196, 0.804], [0.054, 0.446, 0.446], [0.446, 0.446, 0.054], [0.196, 0.804, 0.196], [0.054, 0.446, 0.054], [0.125, 0.625, 0.125], [0.125, 0.125, 0.625], [0.625, 0.125, 0.125], [0.125, 0.125, 0.125]]
}

=====

# 2
{
  "formula": "UAg3Pd2S6",
  "functional": "GGA-PBE",
  "state": "relaxed",
  "e_tot_ev_per_cell": -60.38,
  "volume_a3_per_cell": 228.8,
  "n_ef_per_ev_fu": 7.51,
  "formation_energy_uncorrected_ev_per_atom": -0.449,
  "lattice": [[-5.972, 1.397, 1.330], [2.459, -4.790, 3.222], [3.013, 5.093, 3.232]],
  "species": ["S", "S", "S", "S", "S", "S", "Ag", "Ag", "Ag", "Pd", "Pd", "U"],
  "fractional_positions": [[0.691, 0.691, 0.204], [0.969, 0.621, 0.755], [0.309, 0.309, 0.796], [0.621, 0.969, 0.755], [0.379, 0.031, 0.245], [0.031, 0.379, 0.245], [0.500, 0.500, 0.500], [0.857, 0.143, 0.500], [0.143, 0.857, 0.500], [0.673, 0.327, 0.000], [0.327, 0.673, 0.000], [0.000, 0.000, 0.000]]
}

=====

# 3
{
  "formula": "Tl12Pd3F5",
  "functional": "GGA-PBE",
  "state": "relaxed",
  "e_tot_ev_per_cell": -272.92,
  "volume_a3_per_cell": 2177.2,
  "n_ef_per_ev_fu": 8.75,
  "formation_energy_uncorrected_ev_per_atom": -0.745,
  "lattice": [[-13.893, -2.638, 0.176], [5.136, -0.903, 13.145], [2.265, 13.009, -5.063]],
  "species": ["Tl", "Tl", "Tl", "Tl", "Tl", "Tl", "Tl", "Tl", "Tl", "Tl", "Tl", "Tl", "Tl", "Tl", "Tl", "Tl", "Tl", "Tl", "Tl", "Tl", "Tl", "Tl", "Tl", "Tl", "Tl", "Tl", "Tl", "Tl", "Tl", "Tl", "Tl", "Tl", "Tl", "Tl", "Tl", "Tl", "Tl", "Tl", "Tl", "Tl", "Tl", "Tl", "Tl", "Tl", "Tl", "Tl", "Tl", "Tl", "Pd", "Pd", "Pd", "Pd", "Pd", "Pd", "Pd", "Pd", "Pd", "Pd", "Pd", "Pd", "F", "F", "F", "F", "F", "F", "F", "F", "F", "F", "F", "F", "F", "F", "F", "F", "F", "F", "F", "F"],
  "fractional_positions": [[0.280, 0.415, 0.826], [0.589, 0.953, 0.674], [0.674, 0.453, 0.589], [0.865, 0.280, 0.453], [0.953, 0.365, 0.280], [0.635, 0.047, 0.220], [0.326, 0.780, 0.415], [0.585, 0.720, 0.674], [0.585, 0.865, 0.411], [0.174, 0.089, 0.953], [0.135, 0.720, 0.547], [0.589, 0.635, 0.415], [0.411, 0.047, 0.326], [0.415, 0.280, 0.326], [0.915, 0.826, 0.780], [0.089, 0.915, 0.135], [0.547, 0.326, 0.911], [0.220, 0.547, 0.635], [0.089, 0.174, 0.453], [0.047, 0.635, 0.720], [0.365, 0.411, 0.085], [0.720, 0.585, 0.174], [0.220, 0.674, 0.085], [0.047, 0.411, 0.826], [0.547, 0.220, 0.135], [0.911, 0.085, 0.865], [0.780, 0.453, 0.365], [0.280, 0.865, 0.953], [0.826, 0.915, 0.280], [0.635, 0.589, 0.915], [0.453, 0.780, 0.865], [0.826, 0.911, 0.047], [0.085, 0.174, 0.220], [0.720, 0.135, 0.047], [0.174, 0.085, 0.720], [0.365, 0.953, 0.780], [0.953, 0.589, 0.174], [0.085, 0.911, 0.365], [0.674, 0.220, 0.585], [0.915, 0.089, 0.635], [0.326, 0.547, 0.411], [0.135, 0.415, 0.089], [0.780, 0.326, 0.915], [0.865, 0.585, 0.911], [0.411, 0.365, 0.585], [0.911, 0.826, 0.547], [0.415, 0.135, 0.589], [0.453, 0.674, 0.089], [0.250, 0.125, 0.375], [0.625, 0.375, 0.750], [0.250, 0.625, 0.875], [0.375, 0.750, 0.625], [0.625, 0.250, 0.375], [0.750, 0.375, 0.125], [0.750, 0.875, 0.625], [0.875, 0.125, 0.250], [0.125, 0.875, 0.750], [0.125, 0.250, 0.875], [0.375, 0.625, 0.250], [0.875, 0.750, 0.125], [0.125, 0.375, 0.250], [0.000, 0.000, 0.500], [0.250, 0.375, 0.625], [0.875, 0.625, 0.750], [0.500, 0.500, 0.500], [0.500, 0.000, 0.000], [0.625, 0.750, 0.875], [0.500, 0.500, 0.000], [0.125, 0.750, 0.375], [0.500, 0.000, 0.500], [0.375, 0.125, 0.750], [0.375, 0.250, 0.125], [0.750, 0.125, 0.875], [0.875, 0.250, 0.625], [0.000, 0.500, 0.000], [0.000, 0.000, 0.000], [0.000, 0.500, 0.500], [0.250, 0.875, 0.125], [0.625, 0.875, 0.250], [0.750, 0.625, 0.375]]
}

=====

# 4
{
  "formula": "CsBaHg5Bi2",
  "functional": "GGA-PBE",
  "state": "relaxed",
  "e_tot_ev_per_cell": -13.64,
  "volume_a3_per_cell": 377.0,
  "e_form_ev_per_atom": -0.177,
  "n_ef_per_ev_fu": 2.62,
  "lattice": [[6.132, 0.000, 0.000], [0.000, 6.132, 0.000], [0.000, 0.000, 10.027]],
  "species": ["Hg", "Hg", "Hg", "Hg", "Hg", "Bi", "Bi", "Cs", "Ba"],
  "fractional_positions": [[0.500, 0.000, 0.837], [0.500, 0.000, 0.163], [0.000, 0.500, 0.163], [0.000, 0.500, 0.837], [0.500, 0.500, 0.500], [0.500, 0.500, 0.784], [0.500, 0.500, 0.216], [0.000, 0.000, 0.500], [0.000, 0.000, 0.000]]
}

=====

# 5
{
  "formula": "Pu2Ga2Sn",
  "functional": "GGA-PBE",
  "state": "relaxed",
  "e_tot_ev_per_cell": -40.63,
  "volume_a3_per_cell": 112.6,
  "e_form_ev_per_atom": -0.383,
  "n_ef_per_ev_fu": 12.89,
  "lattice": [[-0.486, -2.699, -1.849], [3.072, 1.549, -3.068], [3.860, -4.246, 5.185]],
  "species": ["Sn", "Pu", "Pu", "Ga", "Ga"],
  "fractional_positions": [[0.000, 0.000, 0.000], [0.500, 0.617, 0.234], [0.500, 0.383, 0.766], [0.000, 0.203, 0.407], [0.000, 0.797, 0.593]]
}

=====

# 6
{
  "formula": "ScTc2NiC",
  "functional": "GGA-PBE",
  "state": "relaxed",
  "e_tot_ev_per_cell": -42.99,
  "volume_a3_per_cell": 65.8,
  "e_form_ev_per_atom": -0.184,
  "n_ef_per_ev_fu": 3.51,
  "lattice": [[-1.543, 2.981, -2.454], [-0.869, -2.843, -2.908], [-3.443, -0.518, 1.536]],
  "species": ["Tc", "Tc", "Sc", "Ni", "C"],
  "fractional_positions": [[0.000, 0.500, 0.000], [0.500, 0.000, 0.000], [0.500, 0.500, 0.500], [0.000, 0.000, 0.500], [0.000, 0.000, 0.000]]
}